Zr3TlH after structural relaxation. Source: Alexandria, functional GGA-PBE.

Cell lengths 7.953, 7.953, 7.953 Å; angles 42.54, 42.54, 42.54 degrees
Element x y z (fractional)
Zr (0.074, 0.381, 0.714)
Zr (0.286, 0.926, 0.619)
Zr (0.381, 0.714, 0.074)
Zr (0.619, 0.286, 0.926)
Zr (0.714, 0.074, 0.381)
Zr (0.926, 0.619, 0.286)
Tl (0.168, 0.168, 0.168)
Tl (0.832, 0.832, 0.832)
H (0.333, 0.333, 0.333)
H (0.667, 0.667, 0.667)

Output
**DFT total energy**: -6.27 eV per atom
**DOS at the Fermi energy**: 8.06 states/eV per cell